First-principles (PBE) data for an optimized crystal structure of YRe3, as listed in the Alexandria database.

a = 2.8433 Å, b = 2.8433 Å, c = 9.9383 Å
α = 81.78°, β = 98.22°, γ = 120.00°
Sites, in units of the cell vectors:
Re1 0.9906 0.0094 0.9718
Re2 0.2500 0.7500 0.7500
Y1 0.7500 0.2500 0.2500
Re3 0.5094 0.4906 0.5282

- energy of formation from the pure elements (eV per atom) = 0.4645
- theoretical density (g/cm3) = 15.7
- space-group type = No. 166